A plane-wave DFT calculation with PBE-GGA was carried out for crystalline YEr2Pu at its relaxed geometry.

Geometry as POSCAR:
```
YEr2Pu
1.0
3.721 0.000 0.000
0.000 5.704 0.000
0.000 0.000 5.704
Y Er Pu
1 2 1
Direct
0.500 0.500 0.500
0.000 0.000 0.500
0.000 0.500 0.000
0.500 0.000 0.000
```

energy = -29.22 eV/cell
Fermi-level density of states = 11.27 states/eV/f.u.
polymorph energy (0 for the lowest one) = 85 meV/atom
size of the total moment = 7.35 μB per formula unit
ΔH_f (0 K) = 0.174 eV per atom

A plane-wave DFT calculation with PBE-GGA was carried out for crystalline Y2Er6Pu at its relaxed geometry.

Geometry as POSCAR:
```
Y2Er6Pu
1.0
10.519 0.000 0.000
0.000 4.934 -0.483
0.000 1.023 10.469
Y Er Pu
4 12 2
Direct
0.665 0.000 0.165
0.165 0.500 0.335
0.835 0.500 0.665
0.335 0.000 0.835
0.000 0.000 0.832
0.333 0.000 0.500
0.335 0.000 0.165
0.835 0.500 0.335
0.833 0.500 0.000
0.500 0.500 0.668
0.000 0.000 0.168
0.667 0.000 0.500
0.665 0.000 0.835
0.165 0.500 0.665
0.167 0.500 0.000
0.500 0.500 0.332
0.500 0.500 0.000
0.000 0.000 0.500
```

energy = -108.38 eV/cell
Fermi-level density of states = 15.89 states/eV/f.u.
polymorph energy (0 for the lowest one) = 0 meV/atom
size of the total moment = 6.16 μB per formula unit
ΔH_f (0 K) = 0.050 eV per atom